The following is a DFT calculation (PBEsol) of AuI2NO after structural relaxation.

The value obtained for the total magnetization is 3.36 μB per cell. The value obtained for the energy is -2.954 eV per atom.

POSCAR file:
```
AuI2NO
1.0
5.685 0.000 0.000
0.000 5.685 0.000
0.000 0.000 3.860
Au I N O
1 2 1 1
direct
0.000 0.000 0.000
0.000 0.500 0.000
0.500 0.000 0.000
0.500 0.500 0.500
0.000 0.000 0.500
```